Computed, not measured: a geometry-optimized NpMnFe2O6 structure at the PBE+U level of DFT.

Cell: 5.4056 5.4285 5.7461 Å, 62.72 62.88 60.29°
With the nearest neighbours (Å) after each atom.
Sites, in units of the cell vectors:
1 Np 0.0000 0.0000 0.0000  6 O 2.06-2.12
2 Mn 0.4934 0.4910 0.5266  6 O 2.14-2.30
3 Fe 0.2039 0.2052 0.3898  4 O 2.06-2.22
4 Fe 0.7033 0.6795 0.9141  5 O 2.05-2.21
5 O 0.1001 0.3834 0.7162  1 Np 2.12, 2 Fe 2.12-2.22, 1 Mn 2.14
6 O 0.2625 0.9088 0.2238  1 Fe 2.06, 1 Np 2.07, 1 Mn 2.30
7 O 0.3971 0.7821 0.7362  1 Fe 2.05, 1 Np 2.11, 1 Mn 2.14
8 O 0.6084 0.2747 0.2148  2 Fe 2.10-2.21, 1 Np 2.10, 1 Mn 2.27
9 O 0.7941 0.0866 0.7305  1 Np 2.06, 1 Mn 2.16, 1 Fe 2.17
10 O 0.8957 0.6101 0.2082  1 Np 2.12, 2 Fe 2.13-2.17, 1 Mn 2.28

Properties
* space-group type: No. 1
* ρ: 6.67 Mg/m³
* VASP energy: -8.152 eV per atom